Density functional theory data (PBE) for an optimized crystal structure of In2Ag2GeO6.

Formation energy without anion corrections   -1.15 eV per atom

a b c (Å): 5.5164 9.6278 6.4321
angles (deg): 90.00 98.87 90.00
Last column: nearest neighbours and their distance in Å.
Space group C2/m (No. 12)
One atom of each set of equivalent atoms:
In (0.0000, 0.1632, 0.0000) x4  6 O 2.18-2.23
Ag (0.0000, 0.3436, 0.5000) x4  2 O 2.13
Ge (0.0000, 0.5000, 0.0000) x2  6 O 1.89-1.99
O (0.1151, 0.3467, 0.8314) x8  1 Ge 1.99, 1 Ag 2.13, 1 In 2.22
O (0.1796, 0.0000, 0.8438) x4  1 Ge 1.89

---

Density functional theory data (PBE) for an optimized crystal structure of KYSb2.

Formation energy without anion corrections   -0.34 eV per atom
Excess energy over the best structure of this formula in the dataset   312.0 meV/atom

a b c (Å): 6.2971 6.2971 19.3673
angles (deg): 90.00 90.00 90.00
Last column: nearest neighbours and their distance in Å.
Space group I-42d (No. 122)
One atom of each set of equivalent atoms:
K (0.0000, 0.0000, 0.0000) x4  4 Sb 3.93
Y (0.0000, 0.0000, 0.5000) x4  4 Sb 2.93
Sb (0.0774, 0.2500, 0.6250) x8  2 Y 2.93

---

Density functional theory data (PBE) for an optimized crystal structure of Tc2HgSb.

Formation energy without anion corrections   0.18 eV per atom
Excess energy over the best structure of this formula in the dataset   0.0 meV/atom

a b c (Å): 3.0400 3.0070 17.2836
angles (deg): 90.00 90.00 90.00
Last column: nearest neighbours and their distance in Å.
Space group Amm2 (No. 38)
One atom of each set of equivalent atoms:
Tc (0.0000, 0.0000, 0.0000) x2  4 Tc 2.61, 4 Sb 2.90
Tc (0.5000, 0.0000, 0.4135) x2  4 Tc 2.61
Hg (0.0000, 0.0000, 0.7936) x2  4 Tc 2.98, 4 Hg 3.01-3.04
Sb (0.5000, 0.0000, 0.6134) x2  4 Tc 2.90, 4 Sb 3.01-3.04

---

Density functional theory data (PBE) for an optimized crystal structure of ReS2Cl5.

Formation energy without anion corrections   -0.24 eV per atom

a b c (Å): 4.8033 7.8356 8.0288
angles (deg): 91.88 107.07 107.01
Last column: nearest neighbours and their distance in Å.
Space group P1 (No. 1)
One atom of each set of equivalent atoms:
Re (0.0000, 0.0000, 0.0000) x1  6 Cl 2.29-2.44
S (0.3137, 0.4421, 0.4419) x1  1 S 1.88
S (0.7183, 0.5305, 0.5950) x1  1 S 1.88
Cl (0.1500, 0.0026, 0.3053) x1  1 Re 2.34
Cl (0.1660, 0.3102, 0.0397) x1  1 Re 2.30
Cl (0.5128, 0.9796, 0.0474) x1  2 Re 2.43-2.44
Cl (0.8291, 0.6863, 0.9589) x1  1 Re 2.33
Cl (0.8554, 0.9988, 0.7012) x1  1 Re 2.29

---

Density functional theory data (PBE) for an optimized crystal structure of Pa2AlMo.

Energy relative to the elements   57 meV/atom
Excess energy over the best structure of this formula in the dataset   105.8 meV/atom

a b c (Å): 3.5585 3.5585 6.8769
angles (deg): 90.00 90.00 90.00
Last column: nearest neighbours and their distance in Å.
Space group P4/mmm (No. 123)
One atom of each set of equivalent atoms:
Pa (0.0000, 0.0000, 0.2382) x2  4 Mo 3.00, 4 Al 3.09, 1 Pa 3.28
Al (0.5000, 0.5000, 0.5000) x1  8 Pa 3.09, 2 Mo 3.44
Mo (0.5000, 0.5000, 0.0000) x1  8 Pa 3.00

---

Density functional theory data (PBE) for an optimized crystal structure of Ac4Te2PN.

Formation energy without anion corrections   -1.36 eV per atom

a b c (Å): 7.5219 4.3453 8.0699
angles (deg): 90.00 108.05 90.00
Last column: nearest neighbours and their distance in Å.
Space group P2/m (No. 10)
One atom of each set of equivalent atoms:
Ac (0.2179, 0.0000, 0.1994) x2  2 N 2.89, 1 P 3.03
Ac (0.2439, 0.5000, 0.7940) x2  1 N 2.83, 2 P 3.03
Te (0.0000, 0.0000, 0.5000) x1  6 Ac 3.32
Te (0.5000, 0.5000, 0.5000) x1  6 Ac 3.45-3.49
P (0.5000, 0.0000, 0.0000) x1  6 Ac 3.03
N (0.0000, 0.5000, 0.0000) x1  6 Ac 2.83-2.89

---

Density functional theory data (PBE) for an optimized crystal structure of OsRu3W.

Energy relative to the elements   321 meV/atom
Excess energy over the best structure of this formula in the dataset   0.0 meV/atom

a b c (Å): 8.0085 10.3894 7.3458
angles (deg): 90.00 96.01 90.00
Last column: nearest neighbours and their distance in Å.
Space group C2/c (No. 15)
One atom of each set of equivalent atoms:
Os (0.2372, 0.0370, 0.1017) x8  2 W 2.60-2.63, 8 Ru 2.61-2.90
Ru (0.0733, 0.3633, 0.5987) x8  2 W 2.61-2.70, 4 Ru 2.62-2.67, 3 Os 2.74-2.89
Ru (0.0950, 0.1491, 0.4013) x8  4 Ru 2.56-2.67, 2 Os 2.62-2.83, 2 W 2.73-2.83
Ru (0.2437, 0.2848, 0.1611) x8  2 W 2.48-2.50, 3 Ru 2.49-2.66, 2 Os 2.61-2.69
W (0.0000, 0.0827, 0.7500) x4  4 Ru 2.50-2.73, 2 Os 2.60
W (0.0000, 0.4090, 0.2500) x4  6 Ru 2.48-2.70, 2 Os 2.63

---

Density functional theory data (PBE) for an optimized crystal structure of LiSmP2Rh5.

Energy relative to the elements   -691 meV/atom

a b c (Å): 4.0770 4.0770 8.6118
angles (deg): 90.00 90.00 90.00
Last column: nearest neighbours and their distance in Å.
Space group P4/mmm (No. 123)
One atom of each set of equivalent atoms:
Li (0.0000, 0.0000, 0.0000) x1  8 Rh 2.96, 8 P 3.10
Sm (0.0000, 0.0000, 0.5000) x1  12 Rh 2.88-2.97
P (0.5000, 0.5000, 0.1310) x2  1 P 2.26, 4 Rh 2.28
Rh (0.0000, 0.5000, 0.2490) x4  2 P 2.28
Rh (0.5000, 0.5000, 0.5000) x1  4 Sm 2.88, 8 Rh 2.97, 2 P 3.18

---

Density functional theory data (PBE) for an optimized crystal structure of NdDy12Er7.

Energy relative to the elements   306 meV/atom
Excess energy over the best structure of this formula in the dataset   0.0 meV/atom

a b c (Å): 12.7741 12.7741 13.5971
angles (deg): 90.00 90.00 120.00
Last column: nearest neighbours and their distance in Å.
Space group R-3 (No. 148, hexagonal axes)
One atom of each set of equivalent atoms:
Nd (0.0000, 0.0000, 0.0000) x3  6 Er 3.03
Dy (0.0041, 0.4366, 0.2459) x18  3 Dy 3.32-3.55, 3 Er 3.36-3.54
Dy (0.0681, 0.1982, 0.3432) x18  2 Er 3.06-3.08, 2 Dy 3.10-3.32
Er (0.0000, 0.0000, 0.5000) x3  6 Dy 3.08
Er (0.0680, 0.8654, 0.8531) x18  1 Nd 3.03, 1 Er 3.06, 2 Dy 3.06-3.36

---

Density functional theory data (PBE) for an optimized crystal structure of CePr2Pb.

Energy relative to the elements   -100 meV/atom
Excess energy over the best structure of this formula in the dataset   188.0 meV/atom

a b c (Å): 7.9298 7.9298 7.9298
angles (deg): 90.00 90.00 90.00
Last column: nearest neighbours and their distance in Å.
Space group Fm-3m (No. 225)
One atom of each set of equivalent atoms:
Ce (0.0000, 0.0000, 0.0000) x4  8 Pr 3.43
Pr (0.2500, 0.2500, 0.2500) x8  4 Pb 3.43, 4 Ce 3.43
Pb (0.0000, 0.0000, 0.5000) x4  8 Pr 3.43

---

Density functional theory data (PBE) for an optimized crystal structure of V2CrRe3.

Energy relative to the elements   -210 meV/atom

a b c (Å): 4.2715 12.8048 6.0633
angles (deg): 90.00 90.00 90.00
Last column: nearest neighbours and their distance in Å.
Space group Cmmm (No. 65)
One atom of each set of equivalent atoms:
V (0.0000, 0.0000, 0.0000) x2  8 Re 2.62-2.63
V (0.0000, 0.0000, 0.5000) x2  8 Re 2.62
V (0.0000, 0.3328, 0.0000) x4  8 Re 2.61-2.63
Cr (0.0000, 0.3328, 0.5000) x4  8 Re 2.60-2.62
Re (0.0000, 0.1672, 0.2516) x8  3 Cr 2.60-2.61, 5 V 2.61-2.63
Re (0.0000, 0.5000, 0.2511) x4  6 V 2.62-2.63, 2 Cr 2.62

---

Density functional theory data (PBE) for an optimized crystal structure of CsInNiCl6.

Formation energy without anion corrections   -1.15 eV per atom

a b c (Å): 6.4992 6.4992 7.8801
angles (deg): 90.00 90.00 120.00
Last column: nearest neighbours and their distance in Å.
Space group P312 (No. 149)
One atom of each set of equivalent atoms:
Cs (0.0000, 0.0000, 0.0000) x1  6 Cl 3.50
In (0.6667, 0.3333, 0.5000) x1  6 Cl 2.56
Ni (0.3333, 0.6667, 0.5000) x1  6 Cl 2.43
Cl (0.0156, 0.3800, 0.6792) x6  1 Ni 2.43, 1 In 2.56